Here is an optimized crystal structure of As2BrCl from the Alexandria database. Energies are from PBEsol.

Computed properties:
- Space-group type: Immm (71)
- Calculated volume: 20.32 A^3/atom
- E_form (uncorrected): 0.26 eV/atom
- ΔE to the lowest computed polymorph: 548 meV/atom

a = 5.527 Å, b = 5.527 Å, c = 5.527 Å
α = 146.10°, β = 118.69°, γ = 71.94°
Sites, in units of the cell vectors:
1 As 0.248 0.248 0.000
2 As 0.752 0.752 0.000
3 Br 0.500 0.000 0.500
4 Cl 0.000 0.500 0.500